TeSeSBr2: optimized geometry, PBE.

- Formation energy from raw total energies: 0.582 eV/atom
- Spin magnetization: 2.46 μB/cell
- Space-group type: P4/mmm, No. 123
- D(E_F): 0.59 states/eV per atom

abc: 5.5476 5.5476 5.5049
angles: 90.00 90.00 90.00
Last column: magnetic moment on the atom in μB.
Fractional positions:
Se 0.0000 0.0000 0.5000  0.27
Te 0.0000 0.0000 0.0000  -0.03
S 0.5000 0.5000 0.5000  1.17
Br 0.0000 0.5000 0.0000  0.06
Br 0.5000 0.0000 0.0000  0.06